Entry from Alexandria via LeMat-Bulk: a geometry-optimized UFeNiP2 structure (PBE).

Unit cell a=3.7524 b=3.7524 c=5.5751 alpha=109.67 beta=109.67 gamma=90.00
With the nearest neighbours (Å) after each atom.
Positions (direct):
P: 0.6212 0.6212 0.2424  2 Fe 2.26, 2 Ni 2.26, 1 P 2.38
P: 0.3788 0.3788 0.7576  2 Fe 2.26, 2 Ni 2.26, 1 P 2.38
U: 0.0000 0.0000 0.0000  8 P 2.91, 4 Fe 3.09, 4 Ni 3.09
Fe: 0.7500 0.2500 0.5000  4 P 2.26
Ni: 0.2500 0.7500 0.5000  4 P 2.26

formation energy from the elements: -0.747 eV per atom